# PBE Y2ZnTc3, relaxed
data_Y2ZnTc3
_chemical_formula_sum 'Y2 Zn1 Tc3'
_symmetry_space_group_name_H-M 'P 1'
_symmetry_Int_Tables_number 1
_symmetry_space_group_name_Hall 'P 1'
_cell_length_a 5.292
_cell_length_b 5.292
_cell_length_c 5.511
_cell_angle_alpha 90.05
_cell_angle_beta 118.69
_cell_angle_gamma 119.94
loop_
_atom_site_label
_atom_site_type_symbol
_atom_site_fract_x
_atom_site_fract_y
_atom_site_fract_z
Tc1 Tc 0.000 0.000 0.500
Tc2 Tc 0.500 0.000 0.500
Tc3 Tc 0.500 0.500 0.500
Y1 Y 0.757 0.379 0.136
Y2 Y 0.243 0.621 0.864
Zn1 Zn 0.000 0.000 0.000
# - energy of formation (meV per atom) = -232
# - VASP energy (eV for the cell shown) = -46.69
# - calculated volume (Å³/atom) = 18.55
# - spin magnetization (μB/cell) = 0.00
# - space group = No. 166